Here is crystalline ScFeP2S at its relaxed geometry from Alexandria via LeMat-Bulk. Energies are from PBE.

Values from the calculation:
Calculated volume: 17.55 Å³/atom
Polymorph energy (0 for the lowest one): 0 meV/atom
Formation energy without anion corrections: -0.1296 eV/atom

CIF file:
```
data_ScFeP2S
_chemical_formula_sum 'Sc1 Fe1 P2 S1'
_cell_length_a 4.1821
_cell_length_b 4.1821
_cell_length_c 5.0166
_cell_angle_alpha 90.00
_cell_angle_beta 90.00
_cell_angle_gamma 90.00
_symmetry_space_group_name_H-M 'P 1'
_symmetry_Int_Tables_number 1
loop_
_symmetry_equiv_pos_as_xyz
'x,y,z'
loop_
_atom_site_label
_atom_site_type_symbol
_atom_site_fract_x
_atom_site_fract_y
_atom_site_fract_z
_atom_site_occupancy
Sc1 Sc 0.0000 0.0000 0.0000 1
Fe1 Fe 0.5000 0.5000 0.5000 1
P1 P 0.0000 0.5000 0.5000 1
P2 P 0.5000 0.0000 0.5000 1
S1 S 0.5000 0.5000 0.0000 1
```